# NiAsSe2S | Alexandria via LeMat-Bulk | PBE | relaxed
# - Energy relative to the elements, uncorrected: 0.605 eV per atom
# - Crystal system: tetragonal
# - Mass density: 5.36 Mg/m³
data_NiAsSe2S
_cell_length_a 4.680
_cell_length_b 4.680
_cell_length_c 4.574
_cell_angle_alpha 90.00
_cell_angle_beta 90.00
_cell_angle_gamma 90.00
_symmetry_space_group_name_H-M 'P 1'
_symmetry_Int_Tables_number 1
_symmetry_space_group_name_Hall 'P 1'
loop_
_atom_site_label
_atom_site_type_symbol
_atom_site_fract_x
_atom_site_fract_y
_atom_site_fract_z
_atom_site_occupancy
S1 S 0.500 0.500 0.500 1
Ni1 Ni 0.000 0.000 0.000 1
As1 As 0.000 0.000 0.500 1
Se1 Se 0.500 0.000 0.000 1
Se2 Se 0.000 0.500 0.000 1

# Mn2CuSbH | Alexandria via LeMat-Bulk | PBE | relaxed
# - Energy: -5.898 eV per atom
# - Crystal system: tetragonal
# - Mass density: 8.12 Mg/m³
data_Mn2CuSbH
_cell_length_a 3.850
_cell_length_b 3.850
_cell_length_c 4.085
_cell_angle_alpha 90.00
_cell_angle_beta 90.00
_cell_angle_gamma 90.00
_symmetry_space_group_name_H-M 'P 1'
_symmetry_Int_Tables_number 1
_symmetry_space_group_name_Hall 'P 1'
loop_
_atom_site_label
_atom_site_type_symbol
_atom_site_fract_x
_atom_site_fract_y
_atom_site_fract_z
_atom_site_occupancy
Sb1 Sb 0.500 0.500 0.500 1
H1 H 0.000 0.000 0.000 1
Mn1 Mn 0.000 0.500 0.000 1
Mn2 Mn 0.500 0.000 0.000 1
Cu1 Cu 0.000 0.000 0.500 1